# 1
! TcMoAsRh2 | the Alexandria database | GGA-PBE | relaxed; values from VASP
! SG: P4/mmm, No. 123
! ΔE_f: 1377.7 meV per atom
&SYSTEM
  ibrav = 0, nat = 5, ntyp = 4
/
ATOMIC_SPECIES
Tc 98.00 Tc.upf
Mo 95.94 Mo.upf
As 74.92 As.upf
Rh 102.91 Rh.upf
ATOMIC_POSITIONS angstrom
Tc 0.000 0.000 0.000
Mo 0.000 0.000 2.331
As 2.339 2.339 2.331
Rh 0.000 2.339 0.000
Rh 2.339 0.000 0.000
CELL_PARAMETERS angstrom
4.678 0.000 0.000
0.000 4.678 0.000
0.000 0.000 4.663

***

# 2
! Sr3Pm2UP6 | the Alexandria database | GGA-PBE | relaxed; values from VASP
! SG: C2/m, No. 12
! ΔE_f: -1228.9 meV per atom
&SYSTEM
  ibrav = 0, nat = 12, ntyp = 4
/
ATOMIC_SPECIES
Sr 87.62 Sr.upf
Pm 145.00 Pm.upf
U 238.03 U.upf
P 30.97 P.upf
ATOMIC_POSITIONS angstrom
Sr 0.000 0.000 0.000
Sr 3.620 2.137 0.000
Sr 3.620 -2.137 0.000
Pm 2.408 4.186 3.485
Pm 2.408 -4.186 3.485
U 2.408 0.000 3.485
P 1.285 1.953 1.964
P 0.167 0.000 4.998
P 1.285 -1.953 1.964
P 3.531 1.953 5.007
P 4.650 0.000 1.973
P 3.531 -1.953 5.007
CELL_PARAMETERS angstrom
3.620 -6.270 0.000
3.620 6.270 0.000
-2.424 0.000 6.971

***

# 3
! CsTlS | the Alexandria database | GGA-PBE | relaxed; values from VASP
! SG: F-43m, No. 216
! formation energy (no corrections): -0.582 eV per atom
&SYSTEM
  ibrav = 0, nat = 12, ntyp = 3
/
ATOMIC_SPECIES
Cs 132.91 Cs.upf
Tl 204.38 Tl.upf
S 32.06 S.upf
ATOMIC_POSITIONS angstrom
Cs 0.000 0.000 0.000
Cs 0.000 3.925 3.925
Cs 3.925 0.000 3.925
Cs 3.925 3.925 0.000
Tl 0.000 0.000 3.925
Tl 0.000 3.925 0.000
Tl 3.925 0.000 0.000
Tl 3.925 3.925 3.925
S 1.963 1.963 1.963
S 1.963 5.888 5.888
S 5.888 1.963 5.888
S 5.888 5.888 1.963
CELL_PARAMETERS angstrom
7.850 0.000 0.000
0.000 7.850 0.000
0.000 0.000 7.850